Computed, not measured: LaSc2Al after structural relaxation at the PBE level of DFT.

```
data_LaSc2Al
_cell_length_a 3.6359
_cell_length_b 5.0464
_cell_length_c 11.0286
_cell_angle_alpha 90.00
_cell_angle_beta 90.00
_cell_angle_gamma 90.00
_space_group_name_H-M_alt 'I m m 2'
_space_group_IT_number 44
loop_
_space_group_symop_operation_xyz
'x,y,z'
'-x,-y,z'
'-x,y,z'
'x,-y,z'
'x+1/2,y+1/2,z+1/2'
'-x+1/2,-y+1/2,z+1/2'
'-x+1/2,y+1/2,z+1/2'
'x+1/2,-y+1/2,z+1/2'
loop_
_atom_site_label
_atom_site_type_symbol
_atom_site_fract_x
_atom_site_fract_y
_atom_site_fract_z
_atom_site_occupancy
La1 La 0.0000 0.0000 0.0000 1
Sc1 Sc 0.0000 0.0000 0.5584 1
Sc2 Sc 0.0000 0.5000 0.7830 1
Al1 Al 0.0000 0.5000 0.2591 1
```

Values from the calculation:
Raw total energy   -5.440 eV per atom
E_form   -107 meV/atom
Calculated volume   25.3 Å³ per atom